# GGA-PBE Tl4AsI7, relaxed
data_Tl4AsI7
_chemical_formula_sum 'Tl4 As1 I7'
_cell_length_a 9.073
_cell_length_b 9.073
_cell_length_c 11.833
_cell_angle_alpha 103.81
_cell_angle_beta 103.81
_cell_angle_gamma 36.62
_space_group_name_H-M_alt 'P 1'
_space_group_IT_number 1
_space_group_name_Hall 'P 1'
loop_
_atom_site_label
_atom_site_type_symbol
_atom_site_fract_x
_atom_site_fract_y
_atom_site_fract_z
Tl1 Tl 0.016 0.016 0.211
Tl2 Tl 0.249 0.249 0.822
Tl3 Tl 0.751 0.751 0.178
Tl4 Tl 0.984 0.984 0.789
As1 As 0.500 0.500 0.500
I1 I 0.000 0.000 0.500
I2 I 0.149 0.149 0.039
I3 I 0.379 0.379 0.633
I4 I 0.380 0.380 0.280
I5 I 0.620 0.620 0.720
I6 I 0.621 0.621 0.367
I7 I 0.851 0.851 0.961
# - E: -2.54 eV/atom
# - Uncorrected formation energy: -460 meV per atom
# - Space group: No. 12